A plane-wave DFT calculation with PBE-GGA was carried out for a relaxed structure of TbNd3Sm6Er2. Values from VASP.

The structure in Quantum ESPRESSO input format:
```
&SYSTEM
  ibrav = 0, nat = 12, ntyp = 4
/
ATOMIC_SPECIES
Er 167.26 Er.upf
Nd 144.24 Nd.upf
Sm 150.36 Sm.upf
Tb 158.93 Tb.upf
CELL_PARAMETERS angstrom
6.267 -0.001 0.006
-3.133 5.428 0.006
-1.057 -1.830 11.788
ATOMIC_POSITIONS crystal
Er 0.667 0.333 0.000
Er 0.333 0.667 0.000
Nd 0.833 0.167 0.500
Nd 0.500 0.500 0.500
Nd 0.167 0.833 0.500
Sm 0.251 0.251 0.754
Sm 0.584 0.918 0.754
Sm 0.749 0.749 0.246
Sm 0.918 0.584 0.754
Sm 0.082 0.416 0.246
Sm 0.416 0.082 0.246
Tb 0.000 0.000 0.000
```

Properties
Space-group type   No. 12
ΔH_f (0 K)   0.017 eV per atom